A.
Entry from Alexandria: Pu2GeCl after structural relaxation (PBE).

- Calculated density: 10.03 Mg/m³
- DOS(E_F): 60.510 states/eV/cell

abc: 4.2463 4.2463 18.9664
angles: 90.00 90.00 120.00
With the nearest neighbours (Å) after each atom.
Space group R-3m (No. 166, hexagonal axes)
One atom of each set of equivalent atoms:
Pu 0.0000 0.0000 0.2493 x6  3 Cl 2.91, 3 Ge 2.92
Ge 0.0000 0.0000 0.0000 x3  6 Pu 2.92
Cl 0.0000 0.0000 0.5000 x3  6 Pu 2.91


B.
Entry from Alexandria: Pu2GeCl after structural relaxation (PBE).

- Calculated density: 10.20 Mg/m³
- DOS(E_F): 51.463 states/eV/cell

abc: 3.6264 3.6264 25.5690
angles: 90.00 90.00 120.00
With the nearest neighbours (Å) after each atom.
Space group R3m (No. 160, hexagonal axes)
One atom of each set of equivalent atoms:
Pu 0.0000 0.0000 0.0000 x3  3 Ge 2.93, 3 Cl 3.05
Pu 0.0000 0.0000 0.1734 x3  3 Ge 2.93, 3 Cl 3.05
Ge 0.0000 0.0000 0.5867 x3  6 Pu 2.93
Cl 0.0000 0.0000 0.4200 x3  6 Pu 3.05


C.
Entry from Alexandria: Pu2GeCl after structural relaxation (PBE).

- Calculated density: 10.92 Mg/m³
- DOS(E_F): 12.126 states/eV/cell

abc: 3.3662 3.3662 7.9968
angles: 90.00 90.00 90.00
With the nearest neighbours (Å) after each atom.
Space group P4/mmm (No. 123)
One atom of each set of equivalent atoms:
Pu 0.0000 0.0000 0.2379 x2  4 Ge 3.05, 4 Cl 3.17, 4 Pu 3.37
Ge 0.5000 0.5000 0.0000 x1  8 Pu 3.05, 4 Ge 3.37
Cl 0.5000 0.5000 0.5000 x1  8 Pu 3.17, 4 Cl 3.37


D.
Entry from Alexandria: Pu2GeCl after structural relaxation (PBE).

- Calculated density: 10.44 Mg/m³
- DOS(E_F): 17.188 states/eV/cell

abc: 4.8955 4.8955 9.1347
angles: 90.00 90.00 120.00
With the nearest neighbours (Å) after each atom.
Space group P-3m1 (No. 164)
One atom of each set of equivalent atoms:
Pu 0.3333 0.6667 0.0093 x2  1 Pu 2.52
Pu 0.3333 0.6667 0.2847 x2  1 Pu 2.52
Ge 0.0000 0.0000 0.1432 x2  1 Ge 2.62
Cl 0.3333 0.6667 0.6019 x2  4 Pu 2.90-3.01


Which is the most stable structure? A is the most stable.


A.
Entry from Alexandria: Rb3GeCl6 after structural relaxation (PBE).

- Calculated density: 2.14 Mg/m³
- DOS(E_F): 5.960 states/eV/cell

abc: 13.0522 16.0494 8.0441
angles: 90.00 90.00 90.00
With the nearest neighbours (Å) after each atom.
Space group Cmc2_1 (No. 36)
One atom of each set of equivalent atoms:
Rb 0.0000 0.0729 0.0000 x4  4 Cl 3.22-3.25
Rb 0.2021 0.4020 0.9300 x8  2 Cl 3.11-3.12
Ge 0.0000 0.3103 0.3613 x4  4 Cl 2.32-2.40
Cl 0.0000 0.3181 0.6587 x4  1 Ge 2.40
Cl 0.0000 0.4423 0.2453 x4  1 Ge 2.32
Cl 0.1391 0.2458 0.2351 x8  1 Ge 2.32
Cl 0.1679 0.0274 0.7213 x8  4 Rb 3.11-3.25


B.
Entry from Alexandria: Rb3GeCl6 after structural relaxation (PBE).

- Calculated density: 2.59 Mg/m³
- DOS(E_F): 9.172 states/eV/cell

abc: 11.1567 11.1567 11.1567
angles: 90.00 90.00 90.00
With the nearest neighbours (Å) after each atom.
Space group Fm-3m (No. 225)
One atom of each set of equivalent atoms:
Rb 0.0000 0.0000 0.0000 x4  6 Cl 3.09
Rb 0.2500 0.2500 0.2500 x8  12 Cl 3.96
Ge 0.0000 0.0000 0.5000 x4  6 Cl 2.48
Cl 0.0000 0.0000 0.2773 x24  1 Ge 2.48


Which is the most stable structure? B is the most stable.


A.
Entry from Alexandria: RbGe3Cl after structural relaxation (PBE).

- Calculated density: 2.51 Mg/m³
- DOS(E_F): 5.597 states/eV/cell

abc: 6.0716 6.0716 6.0716
angles: 90.00 90.00 90.00
With the nearest neighbours (Å) after each atom.
Space group Pm-3m (No. 221)
One atom of each set of equivalent atoms:
Rb 0.0000 0.0000 0.0000 x1  6 Ge 3.04
Ge 0.0000 0.0000 0.5000 x3  2 Rb 3.04
Cl 0.5000 0.5000 0.5000 x1  12 Ge 4.29


B.
Entry from Alexandria: RbGe3Cl after structural relaxation (PBE).

- Calculated density: 3.86 Mg/m³
- DOS(E_F): 2.672 states/eV/cell

abc: 5.2637 5.2637 5.2637
angles: 90.00 90.00 90.00
With the nearest neighbours (Å) after each atom.
Space group Pm-3m (No. 221)
One atom of each set of equivalent atoms:
Rb 0.0000 0.0000 0.0000 x1  12 Ge 3.72
Ge 0.0000 0.5000 0.5000 x3  2 Cl 2.63
Cl 0.5000 0.5000 0.5000 x1  6 Ge 2.63


Which is the most stable structure? B is the most stable.


A.
Entry from Alexandria: Rb2GeCl4 after structural relaxation (PBE).

- Calculated density: 2.65 Mg/m³
- DOS(E_F): 0.000 states/eV/cell

abc: 7.7178 6.9101 9.6341
angles: 90.00 109.88 90.00
With the nearest neighbours (Å) after each atom.
Space group P2_1/m (No. 11)
One atom of each set of equivalent atoms:
Rb 0.0973 0.2500 0.4172 x2  8 Cl 3.28-3.58, 1 Ge 3.64
Rb 0.2584 0.7500 0.0685 x2  8 Cl 3.40-3.73
Ge 0.4668 0.7500 0.6505 x2  2 Cl 2.34
Cl 0.1914 0.7500 0.3993 x2  1 Ge 2.62
Cl 0.2037 0.2500 0.1138 x2  1 Ge 2.77
Cl 0.3321 0.5052 0.7476 x4  1 Ge 2.34


B.
Entry from Alexandria: Rb2GeCl4 after structural relaxation (PBE).

- Calculated density: 2.77 Mg/m³
- DOS(E_F): 0.000 states/eV/cell

abc: 5.2765 5.2765 16.6174
angles: 90.00 90.00 90.00
With the nearest neighbours (Å) after each atom.
Space group I4/mmm (No. 139)
One atom of each set of equivalent atoms:
Rb 0.0000 0.0000 0.1413 x4  5 Cl 3.28-3.53
Ge 0.0000 0.0000 0.5000 x2  6 Cl 2.64-2.68
Cl 0.0000 0.0000 0.3388 x4  1 Ge 2.68
Cl 0.0000 0.5000 0.0000 x4  2 Ge 2.64


C.
Entry from Alexandria: Rb2GeCl4 after structural relaxation (PBE).

- Calculated density: 2.55 Mg/m³
- DOS(E_F): 0.000 states/eV/cell

abc: 13.0112 6.9914 11.0191
angles: 90.00 90.00 90.00
With the nearest neighbours (Å) after each atom.
Space group Pnma (No. 62)
One atom of each set of equivalent atoms:
Rb 0.0321 0.2500 0.1586 x4  6 Cl 3.23-3.51
Rb 0.1252 0.7500 0.4087 x4  6 Cl 3.26-3.64
Ge 0.2225 0.7500 0.0371 x4  2 Cl 2.33
Cl 0.0255 0.7500 0.1301 x4  1 Ge 2.76
Cl 0.0917 0.2500 0.4427 x4  1 Ge 2.63
Cl 0.2348 0.0001 0.6682 x8  1 Ge 2.33


Which is the most stable structure? B is the most stable.


A.
Entry from Alexandria: RbGeCl2 after structural relaxation (PBE).

- Calculated density: 2.46 Mg/m³
- DOS(E_F): 0.649 states/eV/cell

abc: 6.1446 6.1446 16.3889
angles: 90.00 90.00 90.00
With the nearest neighbours (Å) after each atom.
Space group I-42d (No. 122)
One atom of each set of equivalent atoms:
Rb 0.0000 0.0000 0.0000 x4  4 Cl 3.27
Ge 0.0000 0.0000 0.5000 x4  4 Cl 2.76
Cl 0.1695 0.2500 0.6250 x8  2 Ge 2.76


B.
Entry from Alexandria: RbGeCl2 after structural relaxation (PBE).

- Calculated density: 2.65 Mg/m³
- DOS(E_F): 6.167 states/eV/cell

abc: 4.2326 4.2326 27.7164
angles: 90.00 90.00 120.00
With the nearest neighbours (Å) after each atom.
Space group R-3m (No. 166, hexagonal axes)
One atom of each set of equivalent atoms:
Rb 0.0000 0.0000 0.0000 x3  6 Cl 3.21
Ge 0.0000 0.0000 0.5000 x3  2 Cl 2.54
Cl 0.0000 0.0000 0.4085 x6  1 Ge 2.54


Which is the most stable structure? B is the most stable.


A.
Entry from Alexandria: RbGeS2Cl after structural relaxation (PBE).

- Calculated density: 2.55 Mg/m³
- DOS(E_F): 4.121 states/eV/cell

abc: 5.4248 5.4248 5.6984
angles: 90.00 90.00 90.00
With the nearest neighbours (Å) after each atom.
Space group P4/mmm (No. 123)
One atom of each set of equivalent atoms:
Rb 0.0000 0.0000 0.0000 x1  4 S 2.71, 2 Cl 2.85
Ge 0.5000 0.5000 0.5000 x1  4 Cl 3.84, 8 S 3.93
S 0.0000 0.5000 0.0000 x2  2 Rb 2.71
Cl 0.0000 0.0000 0.5000 x1  2 Rb 2.85


B.
Entry from Alexandria: RbGeS2Cl after structural relaxation (PBE).

- Calculated density: 3.40 Mg/m³
- DOS(E_F): 0.529 states/eV/cell

abc: 4.7694 4.7694 5.5315
angles: 90.00 90.00 90.00
With the nearest neighbours (Å) after each atom.
Space group P4/mmm (No. 123)
One atom of each set of equivalent atoms:
Rb 0.0000 0.0000 0.0000 x1  4 Cl 3.37, 8 S 3.65
Ge 0.5000 0.5000 0.5000 x1  4 S 2.38
S 0.0000 0.5000 0.5000 x2  2 Ge 2.38
Cl 0.5000 0.5000 0.0000 x1  2 Ge 2.77


Which is the most stable structure? B is the most stable.


A.
Entry from Alexandria: Rb2SrGeCl6 after structural relaxation (PBE).

- Calculated density: 2.70 Mg/m³
- DOS(E_F): 0.000 states/eV/cell

abc: 11.0203 11.0203 11.0203
angles: 90.00 90.00 90.00
With the nearest neighbours (Å) after each atom.
Space group Fm-3m (No. 225)
One atom of each set of equivalent atoms:
Rb 0.2500 0.2500 0.2500 x8  12 Cl 3.90
Sr 0.0000 0.0000 0.0000 x4  6 Cl 2.85
Ge 0.0000 0.0000 0.5000 x4  6 Cl 2.66
Cl 0.0000 0.0000 0.2582 x24  1 Ge 2.66, 1 Sr 2.85


B.
Entry from Alexandria: Rb2SrGeCl6 after structural relaxation (PBE).

- Calculated density: 2.81 Mg/m³
- DOS(E_F): 0.000 states/eV/cell

abc: 7.5723 7.8161 13.1836
angles: 90.00 124.61 90.00
With the nearest neighbours (Å) after each atom.
Space group P2_1/c (No. 14)
One atom of each set of equivalent atoms:
Rb 0.2318 0.0579 0.2488 x4  6 Cl 3.34-3.59
Sr 0.5000 0.0000 0.0000 x2  6 Cl 2.89-2.90
Ge 0.0000 0.0000 0.5000 x2  6 Cl 2.70-2.71
Cl 0.1500 0.2150 0.9552 x4  1 Ge 2.71, 1 Sr 2.90
Cl 0.2433 0.6983 0.9569 x4  1 Ge 2.70, 1 Sr 2.90
Cl 0.3246 0.0217 0.7404 x4  1 Ge 2.70, 1 Sr 2.89


Which is the most stable structure? B is the most stable.


A.
Entry from Alexandria: Re2GeCl after structural relaxation (PBE).

- Calculated density: 13.57 Mg/m³
- DOS(E_F): 8.692 states/eV/cell

abc: 6.1723 6.1723 6.1723
angles: 90.00 90.00 90.00
With the nearest neighbours (Å) after each atom.
Space group Fm-3m (No. 225)
One atom of each set of equivalent atoms:
Re 0.2500 0.2500 0.2500 x8  4 Cl 2.67, 4 Ge 2.67
Ge 0.0000 0.0000 0.0000 x4  8 Re 2.67
Cl 0.0000 0.0000 0.5000 x4  8 Re 2.67


B.
Entry from Alexandria: Re2GeCl after structural relaxation (PBE).

- Calculated density: 10.15 Mg/m³
- DOS(E_F): 16.569 states/eV/cell

abc: 5.6775 5.6775 9.7518
angles: 90.00 90.00 90.00
With the nearest neighbours (Å) after each atom.
Space group I-42d (No. 122)
One atom of each set of equivalent atoms:
Re 0.2205 0.2500 0.1250 x8  2 Cl 2.25, 2 Ge 2.45
Ge 0.0000 0.0000 0.5000 x4  4 Re 2.45
Cl 0.0000 0.0000 0.0000 x4  4 Re 2.25


Which is the most stable structure? A is the most stable.